# 1
Here is an optimized crystal structure of SrAgH3 from Alexandria. Energies are from PBE-GGA.

Computed properties:
Total DFT energy (no corrections) = -31.2 eV/cell

abc: 4.0799 5.6441 7.1795
angles: 90.00 90.00 116.56
Fractional coordinates of all 10 atoms:
Sr: 0.2734 0.5678 0.7500
Sr: 0.7266 0.4322 0.2500
H: 0.8225 0.6457 0.9413
H: 0.1845 0.9440 0.2500
H: 0.8225 0.6457 0.5587
H: 0.8155 0.0560 0.7500
H: 0.1775 0.3543 0.4413
H: 0.1775 0.3543 0.0587
Ag: 0.0000 0.0000 0.0000
Ag: 0.0000 0.0000 0.5000

# 2
Here is an optimized crystal structure of CeTmMg14 from Alexandria. Energies are from PBE-GGA.

Computed properties:
Total DFT energy (no corrections) = -32.7 eV/cell
DFT formation energy = 2 meV per atom

abc: 6.8985 6.8985 8.0824
angles: 90.00 90.00 90.00
Each line ends with the local moment (μB).
Fractional coordinates of all 16 atoms:
Tm: 0.8750 0.8750 0.5000  0.00
Mg: 0.1224 0.1224 0.7616  0.00
Mg: 0.3750 0.8750 0.0000  0.00
Mg: 0.6276 0.1224 0.2384  0.00
Mg: 0.1224 0.1224 0.2384  0.00
Mg: 0.6276 0.6276 0.7616  0.00
Mg: 0.3750 0.3750 0.0000  0.00
Mg: 0.1224 0.6276 0.2384  0.00
Mg: 0.8750 0.3750 0.0000  0.00
Mg: 0.8750 0.3750 0.5000  0.00
Mg: 0.6276 0.6276 0.2384  0.00
Mg: 0.8750 0.8750 0.0000  0.00
Mg: 0.1224 0.6276 0.7616  0.00
Mg: 0.3750 0.8750 0.5000  0.00
Mg: 0.6276 0.1224 0.7616  0.00
Ce: 0.3750 0.3750 0.5000  0.91

# 3
Here is an optimized crystal structure of SrLa2Ga6 from Alexandria. Energies are from PBE-GGA.

Computed properties:
Total DFT energy (no corrections) = -35.3 eV/cell
DFT formation energy = -628 meV per atom

abc: 4.5336 7.5196 7.5196
angles: 120.00 90.00 90.00
Fractional coordinates of all 9 atoms:
Ga: 0.5000 0.0000 0.6643
Ga: 0.5000 0.6643 0.0000
Ga: 0.5000 0.3357 0.0000
Ga: 0.5000 0.0000 0.3357
Ga: 0.5000 0.3357 0.3357
Ga: 0.5000 0.6643 0.6643
Sr: 0.0000 0.0000 0.0000
La: 0.0000 0.6667 0.3333
La: 0.0000 0.3333 0.6667

# 4
Here is an optimized crystal structure of Cs2PrCl6 from Alexandria. Energies are from PBE-GGA.

Computed properties:
Uncorrected formation energy = -1.8414 eV per atom
Total DFT energy (no corrections) = -34.1 eV/cell

abc: 4.5082 8.7246 8.7351
angles: 119.96 90.00 90.00
Each line ends with the local moment (μB).
Fractional coordinates of all 9 atoms:
Cl: 0.0000 0.2234 0.0000  0.14
Cl: 0.5000 0.3319 0.3322  0.15
Cl: 0.5000 0.6683 0.0000  0.15
Cl: 0.0000 0.7772 0.7773  0.14
Cl: 0.5000 0.9997 0.6678  0.15
Cl: 0.0000 0.9998 0.2227  0.14
Cs: 0.0000 0.3329 0.6663  0.00
Cs: 0.0000 0.6665 0.3337  0.00
Pr: 0.5000 0.0004 0.0000  -0.01

Result set for D(E_F): 0.01; 0.89; 0.50; 0.95 states/eV/atom, one per record in the order listed.